DFT (PBE) results for crystalline LiPa2Te3 at its relaxed geometry.

The formation energy from raw total energies comes out at -4.56 eV/f.u. For the theoretical density, the calculation gives 8.419 g cm⁻³. As for the energy: -5.815 eV/atom.

The structure belongs to space group Immm (No. 71); the cell edges are 4.067, 6.087 and 13.572 Å and the angles 90.00°, 90.00° and 90.00°. The asymmetric unit holds Li at (0.000, 0.000, 0.000), Pa at (0.000, 0.000, 0.326), Te at (0.000, 0.500, 0.000) and Te at (0.000, 0.500, 0.349).